No. 1
Computed, not measured: RbDyTl after structural relaxation at the PBE-GGA level of DFT.

Results
As for the total moment: 1.7 Bohr magnetons per cell. The value obtained for the formation energy is -0.086 eV/atom.

Lattice parameters (Å, degrees): 4.076 4.076 30.055 90.00 90.00 90.00
Sites, in units of the cell vectors:
Rb 0.000 0.000 0.079
Rb 0.000 0.000 0.921
Rb 0.500 0.500 0.421
Rb 0.500 0.500 0.579
Dy 0.000 0.000 0.213
Dy 0.000 0.000 0.787
Dy 0.500 0.500 0.287
Dy 0.500 0.500 0.713
Tl 0.000 0.000 0.334
Tl 0.000 0.000 0.666
Tl 0.500 0.500 0.166
Tl 0.500 0.500 0.834


No. 2
Computed, not measured: RbDy2Tm after structural relaxation at the PBE-GGA level of DFT.

Results
As for the total moment: 0.0 Bohr magnetons per cell. The value obtained for the formation energy is 0.301 eV/atom.

Lattice parameters (Å, degrees): 3.593 3.593 39.517 90.00 90.00 120.00
Sites, in units of the cell vectors:
Rb 0.000 0.000 0.000
Rb 0.333 0.667 0.667
Rb 0.667 0.333 0.333
Dy 0.000 0.000 0.097
Dy 0.000 0.000 0.903
Dy 0.333 0.667 0.570
Dy 0.333 0.667 0.763
Dy 0.667 0.333 0.237
Dy 0.667 0.333 0.430
Tm 0.000 0.000 0.500
Tm 0.333 0.667 0.167
Tm 0.667 0.333 0.833


No. 3
Computed, not measured: RbDyTm2 after structural relaxation at the PBE-GGA level of DFT.

Results
As for the total moment: 0.0 Bohr magnetons per cell. The value obtained for the formation energy is 0.325 eV/atom.

Lattice parameters (Å, degrees): 3.574 3.574 39.153 90.00 90.00 120.00
Sites, in units of the cell vectors:
Rb 0.000 0.000 0.000
Rb 0.333 0.667 0.667
Rb 0.667 0.333 0.333
Dy 0.000 0.000 0.500
Dy 0.333 0.667 0.167
Dy 0.667 0.333 0.833
Tm 0.000 0.000 0.096
Tm 0.000 0.000 0.904
Tm 0.333 0.667 0.571
Tm 0.333 0.667 0.762
Tm 0.667 0.333 0.238
Tm 0.667 0.333 0.429


No. 4
Computed, not measured: Dy4Re after structural relaxation at the PBE-GGA level of DFT.

Results
As for the total moment: 0.0 Bohr magnetons per cell. The value obtained for the formation energy is 0.290 eV/atom.

Lattice parameters (Å, degrees): 5.431 5.431 5.431 90.00 90.00 90.00
Sites, in units of the cell vectors:
Dy 0.000 0.000 0.000
Dy 0.000 0.500 0.500
Dy 0.500 0.000 0.500
Dy 0.500 0.500 0.000
Re 0.500 0.500 0.500


No. 5
Computed, not measured: Dy3Re after structural relaxation at the PBE-GGA level of DFT.

Results
As for the total moment: 0.0 Bohr magnetons per cell. The value obtained for the formation energy is 0.151 eV/atom.

Lattice parameters (Å, degrees): 3.607 10.872 5.274 90.00 90.00 90.00
Sites, in units of the cell vectors:
Dy 0.000 0.000 0.000
Dy 0.000 0.201 0.501
Dy 0.000 0.799 0.501
Dy 0.500 0.299 0.001
Dy 0.500 0.500 0.500
Dy 0.500 0.701 0.001
Re 0.000 0.500 0.997
Re 0.500 0.000 0.497


No. 6
Computed, not measured: Dy2ReRu3 after structural relaxation at the PBE-GGA level of DFT.

Results
As for the total moment: 0.0 Bohr magnetons per cell. The value obtained for the formation energy is -0.306 eV/atom.

Lattice parameters (Å, degrees): 5.509 5.509 8.247 90.00 90.00 120.00
Sites, in units of the cell vectors:
Dy 0.333 0.667 0.061
Dy 0.333 0.667 0.439
Dy 0.667 0.333 0.561
Dy 0.667 0.333 0.939
Re 0.000 0.000 0.000
Re 0.000 0.000 0.500
Ru 0.171 0.341 0.750
Ru 0.171 0.829 0.750
Ru 0.341 0.171 0.250
Ru 0.659 0.829 0.750
Ru 0.829 0.171 0.250
Ru 0.829 0.659 0.250


No. 7
Computed, not measured: Dy2Re3Ru after structural relaxation at the PBE-GGA level of DFT.

Results
As for the total moment: 0.0 Bohr magnetons per cell. The value obtained for the formation energy is -0.220 eV/atom.

Lattice parameters (Å, degrees): 9.117 5.274 5.549 90.00 123.33 90.00
Sites, in units of the cell vectors:
Dy 0.126 0.000 0.378
Dy 0.374 0.500 0.622
Dy 0.626 0.500 0.378
Dy 0.874 0.000 0.622
Re 0.000 0.500 0.000
Re 0.250 0.250 0.000
Re 0.250 0.750 0.000
Re 0.500 0.000 0.000
Re 0.750 0.250 0.000
Re 0.750 0.750 0.000
Ru 0.000 0.500 0.500
Ru 0.500 0.000 0.500


No. 8
Computed, not measured: DyReRu after structural relaxation at the PBE-GGA level of DFT.

Results
As for the total moment: 0.2 Bohr magnetons per cell. The calculation puts the energy above the most stable polymorph in this dataset at 1141 meV/atom. The value obtained for the formation energy is 0.874 eV/atom.

Lattice parameters (Å, degrees): 2.776 20.042 4.649 90.00 90.00 90.00
Sites, in units of the cell vectors:
Dy 0.000 0.137 0.250
Dy 0.000 0.863 0.750
Dy 0.500 0.363 0.750
Dy 0.500 0.637 0.250
Re 0.000 0.000 0.000
Re 0.000 0.000 0.500
Re 0.500 0.500 0.000
Re 0.500 0.500 0.500
Ru 0.000 0.269 0.250
Ru 0.000 0.731 0.750
Ru 0.500 0.231 0.750
Ru 0.500 0.769 0.250